Entry 1:
# NaCuPdAu

Crystalline NaCuPdAu at its relaxed geometry (PBE, Alexandria via LeMat-Bulk).

Computed properties:
ρ in kg/m3: 9974
Calculated formation energy in eV per atom: -0.027

abc: 4.5112 4.5112 4.5112
angles: 60.00 60.00 60.00
Fractional coordinates of all 4 atoms:
Au 0.5000 0.5000 0.5000
Na 0.7500 0.7500 0.7500
Pd 0.0000 0.0000 0.0000
Cu 0.2500 0.2500 0.2500

=====

Entry 2:
# RbNa2CuAu

Crystalline RbNa2CuAu at its relaxed geometry (PBE, Alexandria via LeMat-Bulk).

Computed properties:
ρ in kg/m3: 3972
Calculated formation energy in eV per atom: 0.058
Relative energy among the computed polymorphs in meV/atom: 4

abc: 5.6897 5.6897 5.0613
angles: 90.00 90.00 90.00
Fractional coordinates of all 5 atoms:
Cu 0.0000 0.0000 0.5000
Au 0.0000 0.0000 0.0000
Rb 0.5000 0.5000 0.5000
Na 0.0000 0.5000 0.0000
Na 0.5000 0.0000 0.0000

=====

Entry 3:
# RbNa2CuAu

Crystalline RbNa2CuAu at its relaxed geometry (PBE, Alexandria via LeMat-Bulk).

Computed properties:
ρ in kg/m3: 4227
Calculated formation energy in eV per atom: 0.055
Relative energy among the computed polymorphs in meV/atom: 0

abc: 5.5070 5.5070 5.0776
angles: 90.00 90.00 90.00
Fractional coordinates of all 5 atoms:
Au 0.0000 0.0000 0.5000
Rb 0.5000 0.5000 0.5000
Na 0.5000 0.0000 0.0000
Na 0.0000 0.5000 0.0000
Cu 0.0000 0.0000 0.0000

=====

Entry 4:
# NaCuRuAu2

Crystalline NaCuRuAu2 at its relaxed geometry (PBE, Alexandria via LeMat-Bulk).

Computed properties:
ρ in kg/m3: 7818
Calculated formation energy in eV per atom: 0.667

abc: 5.1121 4.7263 5.1121
angles: 90.00 90.00 90.00
Site moments in Bohr magnetons follow the coordinates.
Fractional coordinates of all 5 atoms:
Au 0.0000 0.0000 0.5000  0.22
Au 0.5000 0.0000 0.0000  0.08
Na 0.5000 0.5000 0.5000  0.00
Cu 0.0000 0.5000 0.0000  0.22
Ru 0.0000 0.0000 0.0000  1.58

=====

Please write out number 4 again, unchanged.
# NaCuRuAu2

Crystalline NaCuRuAu2 at its relaxed geometry (PBE, Alexandria via LeMat-Bulk).

Computed properties:
ρ in kg/m3: 7818
Calculated formation energy in eV per atom: 0.667

abc: 5.1121 4.7263 5.1121
angles: 90.00 90.00 90.00
Site moments in Bohr magnetons follow the coordinates.
Fractional coordinates of all 5 atoms:
Au 0.0000 0.0000 0.5000  0.22
Au 0.5000 0.0000 0.0000  0.08
Na 0.5000 0.5000 0.5000  0.00
Cu 0.0000 0.5000 0.0000  0.22
Ru 0.0000 0.0000 0.0000  1.58

=====

Q: Which value of calculated formation energy does entry 2 give?
A: 0.058 eV per atom

=====

Copy entry 2 word for word.
# RbNa2CuAu

Crystalline RbNa2CuAu at its relaxed geometry (PBE, Alexandria via LeMat-Bulk).

Computed properties:
ρ in kg/m3: 3972
Calculated formation energy in eV per atom: 0.058
Relative energy among the computed polymorphs in meV/atom: 4

abc: 5.6897 5.6897 5.0613
angles: 90.00 90.00 90.00
Fractional coordinates of all 5 atoms:
Cu 0.0000 0.0000 0.5000
Au 0.0000 0.0000 0.0000
Rb 0.5000 0.5000 0.5000
Na 0.0000 0.5000 0.0000
Na 0.5000 0.0000 0.0000